# ScMn2BrF (PBE with a Hubbard U, relaxed)
data_ScMn2BrF
_chemical_formula_sum 'Sc1 Mn2 Br1 F1'
_cell_length_a 4.256
_cell_length_b 4.256
_cell_length_c 5.838
_cell_angle_alpha 90.00
_cell_angle_beta 90.00
_cell_angle_gamma 90.00
_symmetry_space_group_name_H-M 'P 4/m m m'
_symmetry_Int_Tables_number 123
_symmetry_space_group_name_Hall '-P 4 2'
loop_
_atom_site_label
_atom_site_type_symbol
_atom_site_fract_x
_atom_site_fract_y
_atom_site_fract_z
Sc1 Sc 0.000 0.000 0.000
Mn1 Mn 0.000 0.500 0.500
Br1 Br 0.500 0.500 0.000
F1 F 0.500 0.500 0.500
# Spin magnetization   7.8 μB/f.u.
# DOS(E_F)   1.02 states/eV/atom
# Crystal system   tetragonal
# DFT total energy   -5.3660 eV per atom
# Energy above the lowest structure with this stoichiometry   0.000 eV/atom